# 1
Pm4Bi2Te: relaxed, PBE.

## Properties
- distance to the lowest polymorph of the same formula (eV per formula unit) = 1.47
- formation energy (no corrections) (kJ/mol of formula units) = -499

Structure (POSCAR):
```
Pm4Bi2Te
1.0
7.958 0.000 0.000
0.000 6.615 0.000
-3.575 0.000 8.927
Pm Bi Te
8 4 2
Direct
0.129 0.250 0.086
0.193 0.750 0.357
0.289 0.002 0.771
0.289 0.498 0.771
0.711 0.502 0.229
0.711 0.998 0.229
0.807 0.250 0.643
0.871 0.750 0.914
0.079 0.250 0.439
0.309 0.750 0.070
0.691 0.250 0.930
0.921 0.750 0.561
0.476 0.250 0.362
0.524 0.750 0.638
```

=====

# 2
YZrSe2: relaxed, PBE.

## Properties
- distance to the lowest polymorph of the same formula (eV per formula unit) = 0.78
- formation energy (no corrections) (kJ/mol of formula units) = -487

Structure (POSCAR):
```
YZrSe2
1.0
10.411 0.000 0.000
0.000 3.512 0.000
-0.337 0.000 4.719
Y Zr Se
2 2 4
Direct
0.000 0.000 0.000
0.500 0.500 0.000
0.254 0.500 0.458
0.754 0.000 0.458
0.270 0.000 0.964
0.484 0.000 0.498
0.770 0.500 0.964
0.984 0.500 0.498
```

=====

# 3
ZnSe2S: relaxed, PBE.

## Properties
- distance to the lowest polymorph of the same formula (eV per formula unit) = 1.85
- formation energy (no corrections) (kJ/mol of formula units) = 209

Structure (POSCAR):
```
ZnSe2S
1.0
6.673 0.000 0.000
0.000 6.673 0.000
0.000 0.000 6.673
Zn Se S
4 8 4
Direct
0.000 0.000 0.000
0.000 0.500 0.500
0.500 0.000 0.500
0.500 0.500 0.000
0.250 0.250 0.250
0.250 0.250 0.750
0.250 0.750 0.250
0.250 0.750 0.750
0.750 0.250 0.250
0.750 0.250 0.750
0.750 0.750 0.250
0.750 0.750 0.750
0.000 0.000 0.500
0.000 0.500 0.000
0.500 0.000 0.000
0.500 0.500 0.500
```

=====

# 4
Li2CeTl4Ag: relaxed, PBE.

## Properties
- electronic total energy (eV/atom) = -2.90

Structure (POSCAR):
```
Li2CeTl4Ag
1.0
2.465 1.423 9.189
-2.465 1.423 9.189
0.000 -2.846 9.189
Li Ce Tl Ag
2 1 4 1
Direct
0.239 0.239 0.239
0.761 0.761 0.761
0.000 0.000 0.000
0.123 0.123 0.123
0.388 0.388 0.388
0.612 0.612 0.612
0.877 0.877 0.877
0.500 0.500 0.500
```

=====

no.,M_tot (μB/atom)
1,0.050
2,0.000
3,0.000
4,0.120